# TlCuNiIr

A geometry-optimized TlCuNiIr structure (GGA-PBE, the Open Quantum Materials Database).

* size of the total moment: 0.00 μB/f.u.
* VASP energy: -75.78 eV per cell
* volume: 241.4 Å³ per cell

Lattice parameters (Å, degrees): 6.226 6.226 6.226 90.00 90.00 90.00
Space group F-43m (No. 216)
Inequivalent atoms, fractional coordinates:
Tl  0.000  0.000  0.000 [4 per cell]
Cu  0.250  0.250  0.250 [4 per cell]
Ni  0.000  0.000  0.500 [4 per cell]
Ir  0.250  0.250  0.750 [4 per cell]



# GdMgZn

A geometry-optimized GdMgZn structure (GGA-PBE, the Open Quantum Materials Database).

* size of the total moment: 0.00 μB/f.u.
* VASP energy: -23.75 eV per cell
* volume: 205.0 Å³ per cell

Lattice parameters (Å, degrees): 5.0086 5.0086 9.4381 90.00 90.00 120.00
Space group P3m1 (No. 156)
Inequivalent atoms, fractional coordinates:
Gd  0.0000  0.0000  0.0000 [1 per cell]
Gd  0.3333  0.6667  0.4029 [1 per cell]
Gd  0.6667  0.3333  0.1979 [1 per cell]
Mg  0.0000  0.0000  0.6436 [1 per cell]
Mg  0.6667  0.3333  0.5400 [1 per cell]
Mg  0.6667  0.3333  0.8486 [1 per cell]
Zn  0.0000  0.0000  0.3392 [1 per cell]
Zn  0.3333  0.6667  0.0466 [1 per cell]
Zn  0.3333  0.6667  0.7480 [1 per cell]



# HoTlPO

A geometry-optimized HoTlPO structure (GGA-PBE, the Open Quantum Materials Database).

* size of the total moment: 0.25 μB/f.u.
* VASP energy: -45.14 eV per cell
* volume: 161.3 Å³ per cell

Lattice parameters (Å, degrees): 4.141 4.141 9.405 90.00 90.00 90.00
Space group P4/nmm (No. 129, origin choice 2)
Inequivalent atoms, fractional coordinates:
Ho  0.250  0.250  0.103 [2 per cell]
Tl  0.250  0.750  0.500 [2 per cell]
P  0.250  0.250  0.724 [2 per cell]
O  0.250  0.750  0.000 [2 per cell]



# HoSbPd

A geometry-optimized HoSbPd structure (GGA-PBE, the Open Quantum Materials Database).

* size of the total moment: 0.00 μB/f.u.
* VASP energy: -69.01 eV per cell
* volume: 283.7 Å³ per cell

Lattice parameters (Å, degrees): 6.571 6.571 6.571 90.00 90.00 90.00
Space group F-43m (No. 216)
Inequivalent atoms, fractional coordinates:
Ho  0.000  0.000  0.000 [4 per cell]
Sb  0.000  0.000  0.500 [4 per cell]
Pd  0.250  0.250  0.250 [4 per cell]



# CdCuPtPb

A geometry-optimized CdCuPtPb structure (GGA-PBE, the Open Quantum Materials Database).

* size of the total moment: 0.00 μB/f.u.
* VASP energy: -57.42 eV per cell
* volume: 303.7 Å³ per cell

Lattice parameters (Å, degrees): 6.722 6.722 6.722 90.00 90.00 90.00
Space group F-43m (No. 216)
Inequivalent atoms, fractional coordinates:
Cd  0.000  0.000  0.000 [4 per cell]
Cu  0.250  0.250  0.750 [4 per cell]
Pt  0.250  0.250  0.250 [4 per cell]
Pb  0.000  0.000  0.500 [4 per cell]



# CsAgOsS3

A geometry-optimized CsAgOsS3 structure (GGA-PBE, the Open Quantum Materials Database).

* size of the total moment: 1.04 μB/f.u.
* VASP energy: -113.14 eV per cell
* volume: 578.6 Å³ per cell

Lattice parameters (Å, degrees): 3.775 15.683 9.774 90.00 90.00 90.00
Space group Cmcm (No. 63)
Inequivalent atoms, fractional coordinates:
Cs  0.000  0.250  0.250 [4 per cell]
Ag  0.000  0.049  0.750 [4 per cell]
Os  0.000  0.500  0.000 [4 per cell]
S  0.000  0.098  0.517 [8 per cell]
S  0.000  0.441  0.750 [4 per cell]



# Cu3P4S4I3

A geometry-optimized Cu3P4S4I3 structure (GGA-PBE, the Open Quantum Materials Database).

* VASP energy: -341.67 eV per cell
* volume: 2200.3 Å³ per cell

Lattice parameters (Å, degrees): 19.3454 19.3454 6.7890 90.00 90.00 120.00
Space group P6_3cm (No. 185)
Inequivalent atoms, fractional coordinates:
Cu  0.0000  0.1277  0.0000 [6 per cell]
Cu  0.2042  0.5368  0.6693 [12 per cell]
P  0.0000  0.2367  0.9043 [6 per cell]
P  0.0000  0.4002  0.0012 [6 per cell]
P  0.0921  0.4278  0.7559 [12 per cell]
S  0.0000  0.3066  0.1491 [6 per cell]
S  0.0000  0.4111  0.5536 [6 per cell]
S  0.1030  0.3238  0.7510 [12 per cell]
I  0.0000  0.1303  0.3878 [6 per cell]
I  0.2015  0.5355  0.2774 [12 per cell]



# CdAgO3

A geometry-optimized CdAgO3 structure (GGA-PBE, the Open Quantum Materials Database).

* VASP energy: -117.57 eV per cell
* volume: 387.4 Å³ per cell

Lattice parameters (Å, degrees): 5.5118 5.5118 14.7261 90.00 90.00 120.00
Space group R-3 (No. 148, hexagonal axes)
Inequivalent atoms, fractional coordinates:
Cd  0.0000  0.0000  0.1358 [6 per cell]
Ag  0.0000  0.0000  0.3441 [6 per cell]
O  0.0219  0.6400  0.9208 [18 per cell]



# Zr2Sc4Ga3C3

A geometry-optimized Zr2Sc4Ga3C3 structure (GGA-PBE, the Open Quantum Materials Database).

* size of the total moment: 0.00 μB/f.u.
* VASP energy: -345.48 eV per cell
* volume: 828.2 Å³ per cell

Lattice parameters (Å, degrees): 9.961 5.746 14.850 90.00 103.03 90.00
Space group C2/c (No. 15)
Inequivalent atoms, fractional coordinates:
Zr  0.057  0.085  0.415 [8 per cell]
Sc  0.113  0.419  0.589 [8 per cell]
Sc  0.219  0.415  0.911 [8 per cell]
Ga  0.000  0.392  0.250 [4 per cell]
Ga  0.152  0.070  0.750 [8 per cell]
C  0.081  0.244  0.000 [8 per cell]
C  0.250  0.250  0.500 [4 per cell]



# Dy2NiPd

A geometry-optimized Dy2NiPd structure (GGA-PBE, the Open Quantum Materials Database).

* energy relative to the elements: -0.68 eV/atom
* size of the total moment: 0.00 μB/f.u.
* VASP energy: -45.33 eV per cell
* volume: 169.8 Å³ per cell

Lattice parameters (Å, degrees): 4.312 5.555 7.089 90.00 90.00 90.00
Space group Pmc2_1 (No. 26)
Inequivalent atoms, fractional coordinates:
Dy  0.000  0.112  0.000 [2 per cell]
Dy  0.500  0.379  0.641 [2 per cell]
Ni  0.500  0.105  0.276 [2 per cell]
Pd  0.000  0.386  0.358 [2 per cell]



# MgFeSnMo

A geometry-optimized MgFeSnMo structure (GGA-PBE, the Open Quantum Materials Database).

* size of the total moment: 1.99 μB/f.u.
* VASP energy: -92.96 eV per cell
* volume: 255.1 Å³ per cell

Lattice parameters (Å, degrees): 6.342 6.342 6.342 90.00 90.00 90.00
Space group F-43m (No. 216)
Inequivalent atoms, fractional coordinates:
Mg  0.000  0.000  0.000 [4 per cell]
Fe  0.000  0.000  0.500 [4 per cell]
Sn  0.250  0.250  0.250 [4 per cell]
Mo  0.250  0.250  0.750 [4 per cell]



# PrLu3Re

A geometry-optimized PrLu3Re structure (GGA-PBE, the Open Quantum Materials Database).

* energy relative to the elements: 0.21 eV/atom
* size of the total moment: 0.02 μB/f.u.
* VASP energy: -29.72 eV per cell
* volume: 154.4 Å³ per cell

Lattice parameters (Å, degrees): 5.365 5.365 5.365 90.00 90.00 90.00
Space group Pm-3m (No. 221)
Inequivalent atoms, fractional coordinates:
Pr  0.000  0.000  0.000 [1 per cell]
Lu  0.000  0.500  0.500 [3 per cell]
Re  0.500  0.500  0.500 [1 per cell]